(1)
VASP calculation (PBE) on crystalline CsRbSb2 at its relaxed geometry. Values from VASP.

Cell and atoms, written as Quantum ESPRESSO input:
```
&SYSTEM
  ibrav = 0, nat = 8, ntyp = 3
/
ATOMIC_SPECIES
Cs 132.91 Cs.upf
Rb 85.47 Rb.upf
Sb 121.76 Sb.upf
ATOMIC_POSITIONS crystal
Cs 0.000 0.000 0.000
Cs 0.750 0.250 0.500
Rb 0.250 0.750 0.500
Rb 0.500 0.500 0.000
Sb 0.134 0.625 0.009
Sb 0.375 0.384 0.509
Sb 0.616 0.125 0.991
Sb 0.875 0.866 0.491
CELL_PARAMETERS angstrom
-5.271 5.271 3.206
5.271 -5.271 3.206
5.271 5.271 -3.206
```

- symmetry = I-42d, No. 122
- E_form (uncorrected) (eV/atom) = 0.01
- size of the total moment (μB per formula unit) = 0.000
- excess energy over the best structure of this formula in the dataset (eV per atom) = 0.4193


(2)
VASP calculation (PBE) on crystalline PrPd12Au6 at its relaxed geometry. Values from VASP.

Cell and atoms, written as Quantum ESPRESSO input:
```
&SYSTEM
  ibrav = 0, nat = 19, ntyp = 3
/
ATOMIC_SPECIES
Pr 140.91 Pr.upf
Pd 106.42 Pd.upf
Au 196.97 Au.upf
ATOMIC_POSITIONS crystal
Pr 0.000 0.000 0.000
Pd 0.106 0.347 0.347
Pd 0.110 0.500 0.890
Pd 0.110 0.890 0.500
Pd 0.347 0.106 0.347
Pd 0.347 0.347 0.106
Pd 0.500 0.110 0.890
Pd 0.500 0.890 0.110
Pd 0.653 0.653 0.894
Pd 0.653 0.894 0.653
Pd 0.890 0.110 0.500
Pd 0.890 0.500 0.110
Pd 0.894 0.653 0.653
Au 0.300 0.696 0.696
Au 0.304 0.304 0.700
Au 0.304 0.700 0.304
Au 0.696 0.300 0.696
Au 0.696 0.696 0.300
Au 0.700 0.304 0.304
CELL_PARAMETERS angstrom
5.933 3.425 2.917
-5.933 3.425 2.917
0.000 -6.850 2.917
```

- symmetry = R-3m, No. 166
- ΔE_f (eV/atom) = 0.02
- size of the total moment (μB per formula unit) = 0.000


DOS at the Fermi energy / states/eV/cell: 12.1 19.0